[1]
# Li2TbSc2Tl2 (GGA-PBE, relaxed)
data_Li2TbSc2Tl2
_space_group_name_H-M_alt 'P 1'
_space_group_IT_number 1
_space_group_name_Hall 'P 1'
_cell_length_a 8.9444
_cell_length_b 8.9444
_cell_length_c 8.9444
_cell_angle_alpha 30.59
_cell_angle_beta 30.59
_cell_angle_gamma 30.59
loop_
_atom_site_label
_atom_site_type_symbol
_atom_site_fract_x
_atom_site_fract_y
_atom_site_fract_z
Li1 Li 0.0856 0.0856 0.0856
Li2 Li 0.9144 0.9144 0.9144
Tb1 Tb 0.5000 0.5000 0.5000
Sc1 Sc 0.3685 0.3685 0.3685
Sc2 Sc 0.6315 0.6315 0.6315
Tl1 Tl 0.2437 0.2437 0.2437
Tl2 Tl 0.7563 0.7563 0.7563
# - VASP energy (eV/atom) = -3.858
# - space-group type = R-3m, No. 166
# - DFT formation energy (eV per formula unit) = -1.2
# - total magnetic moment (μB per cell) = 0.0

---

[2]
# Pr4In5Rh2 (GGA-PBE, relaxed)
data_Pr4In5Rh2
_space_group_name_H-M_alt 'P 1'
_space_group_IT_number 1
_space_group_name_Hall 'P 1'
_cell_length_a 7.8527
_cell_length_b 3.8090
_cell_length_c 9.8342
_cell_angle_alpha 90.00
_cell_angle_beta 93.76
_cell_angle_gamma 90.00
loop_
_atom_site_label
_atom_site_type_symbol
_atom_site_fract_x
_atom_site_fract_y
_atom_site_fract_z
Pr1 Pr 0.1729 0.0000 0.3525
Pr2 Pr 0.2237 0.0000 0.9435
Pr3 Pr 0.7763 0.0000 0.0565
Pr4 Pr 0.8271 0.0000 0.6475
In1 In 0.1805 0.5000 0.6539
In2 In 0.4498 0.5000 0.1786
In3 In 0.5000 0.5000 0.5000
In4 In 0.5502 0.5000 0.8214
In5 In 0.8195 0.5000 0.3461
Rh1 Rh 0.0744 0.5000 0.1411
Rh2 Rh 0.9256 0.5000 0.8589
# - VASP energy (eV/atom) = -4.869
# - space-group type = P2/m, No. 10
# - DFT formation energy (eV per formula unit) = -6.0
# - total magnetic moment (μB per cell) = 0.0

---

[3]
# LiPm2Al12Pd3 (GGA-PBE, relaxed)
data_LiPm2Al12Pd3
_space_group_name_H-M_alt 'P 1'
_space_group_IT_number 1
_space_group_name_Hall 'P 1'
_cell_length_a 6.9489
_cell_length_b 6.9489
_cell_length_c 6.9489
_cell_angle_alpha 86.81
_cell_angle_beta 86.81
_cell_angle_gamma 86.81
loop_
_atom_site_label
_atom_site_type_symbol
_atom_site_fract_x
_atom_site_fract_y
_atom_site_fract_z
Li1 Li 0.0000 0.0000 0.0000
Pm1 Pm 0.2670 0.2670 0.2670
Pm2 Pm 0.7330 0.7330 0.7330
Al1 Al 0.1463 0.5764 0.5764
Al2 Al 0.1937 0.1937 0.7202
Al3 Al 0.1937 0.7202 0.1937
Al4 Al 0.2798 0.8063 0.8063
Al5 Al 0.4236 0.4236 0.8537
Al6 Al 0.4236 0.8537 0.4236
Al7 Al 0.5764 0.1463 0.5764
Al8 Al 0.5764 0.5764 0.1463
Al9 Al 0.7202 0.1937 0.1937
Al10 Al 0.8063 0.2798 0.8063
Al11 Al 0.8063 0.8063 0.2798
Al12 Al 0.8537 0.4236 0.4236
Pd1 Pd 0.0000 0.0000 0.5000
Pd2 Pd 0.0000 0.5000 0.0000
Pd3 Pd 0.5000 0.0000 0.0000
# - VASP energy (eV/atom) = -4.238
# - space-group type = R-3m, No. 166
# - DFT formation energy (eV per formula unit) = -4.4
# - total magnetic moment (μB per cell) = 0.0

---

[4]
# Y5Bi3 (GGA-PBE, relaxed)
data_Y5Bi3
_space_group_name_H-M_alt 'P 1'
_space_group_IT_number 1
_space_group_name_Hall 'P 1'
_cell_length_a 8.2811
_cell_length_b 9.5418
_cell_length_c 12.0855
_cell_angle_alpha 90.00
_cell_angle_beta 90.00
_cell_angle_gamma 90.00
loop_
_atom_site_label
_atom_site_type_symbol
_atom_site_fract_x
_atom_site_fract_y
_atom_site_fract_z
Y1 Y 0.0258 0.2500 0.0112
Y2 Y 0.1460 0.7500 0.2857
Y3 Y 0.1863 0.2500 0.2806
Y4 Y 0.1939 0.0620 0.5589
Y5 Y 0.1939 0.4380 0.5589
Y6 Y 0.3061 0.5620 0.0589
Y7 Y 0.3061 0.9380 0.0589
Y8 Y 0.3137 0.7500 0.7806
Y9 Y 0.3540 0.2500 0.7857
Y10 Y 0.4742 0.7500 0.5112
Y11 Y 0.5258 0.2500 0.4888
Y12 Y 0.6460 0.7500 0.2143
Y13 Y 0.6863 0.2500 0.2194
Y14 Y 0.6939 0.0620 0.9411
Y15 Y 0.6939 0.4380 0.9411
Y16 Y 0.8061 0.5620 0.4411
Y17 Y 0.8061 0.9380 0.4411
Y18 Y 0.8137 0.7500 0.7194
Y19 Y 0.8540 0.2500 0.7143
Y20 Y 0.9742 0.7500 0.9888
Bi1 Bi 0.0660 0.0041 0.8258
Bi2 Bi 0.0660 0.4959 0.8258
Bi3 Bi 0.0901 0.7500 0.5424
Bi4 Bi 0.4099 0.2500 0.0424
Bi5 Bi 0.4340 0.5041 0.3258
Bi6 Bi 0.4340 0.9959 0.3258
Bi7 Bi 0.5660 0.0041 0.6742
Bi8 Bi 0.5660 0.4959 0.6742
Bi9 Bi 0.5901 0.7500 0.9576
Bi10 Bi 0.9099 0.2500 0.4576
Bi11 Bi 0.9340 0.5041 0.1742
Bi12 Bi 0.9340 0.9959 0.1742
# - VASP energy (eV/atom) = -6.226
# - space-group type = Pnma, No. 62
# - DFT formation energy (eV per formula unit) = -5.8
# - total magnetic moment (μB per cell) = 0.0

---

[5]
# FeCo7Ir2 (GGA-PBE, relaxed)
data_FeCo7Ir2
_space_group_name_H-M_alt 'P 1'
_space_group_IT_number 1
_space_group_name_Hall 'P 1'
_cell_length_a 4.4262
_cell_length_b 4.4332
_cell_length_c 6.7895
_cell_angle_alpha 71.05
_cell_angle_beta 71.14
_cell_angle_gamma 80.26
loop_
_atom_site_label
_atom_site_type_symbol
_atom_site_fract_x
_atom_site_fract_y
_atom_site_fract_z
Fe1 Fe 0.0000 0.0000 0.0000
Co1 Co 0.2100 0.9955 0.5996
Co2 Co 0.3046 0.4990 0.8992
Co3 Co 0.4079 0.9998 0.1991
Co4 Co 0.5000 0.5000 0.5000
Co5 Co 0.5921 0.0002 0.8009
Co6 Co 0.6954 0.5010 0.1008
Co7 Co 0.7900 0.0045 0.4004
Ir1 Ir 0.1024 0.4966 0.2957
Ir2 Ir 0.8976 0.5034 0.7043
# - VASP energy (eV/atom) = -7.567
# - space-group type = P-1, No. 2
# - DFT formation energy (eV per formula unit) = 0.3
# - total magnetic moment (μB per cell) = 15.1

---

[6]
# CaZr3Tl (GGA-PBE, relaxed)
data_CaZr3Tl
_space_group_name_H-M_alt 'P 1'
_space_group_IT_number 1
_space_group_name_Hall 'P 1'
_cell_length_a 5.4577
_cell_length_b 5.4577
_cell_length_c 5.4577
_cell_angle_alpha 90.00
_cell_angle_beta 90.00
_cell_angle_gamma 90.00
loop_
_atom_site_label
_atom_site_type_symbol
_atom_site_fract_x
_atom_site_fract_y
_atom_site_fract_z
Ca1 Ca 0.0000 0.0000 0.0000
Zr1 Zr 0.0000 0.5000 0.5000
Zr2 Zr 0.5000 0.0000 0.5000
Zr3 Zr 0.5000 0.5000 0.0000
Tl1 Tl 0.5000 0.5000 0.5000
# - VASP energy (eV/atom) = -5.067
# - space-group type = Pm-3m, No. 221
# - DFT formation energy (eV per formula unit) = 4.7
# - total magnetic moment (μB per cell) = 0.0

---

[7]
# Rb2FeAu (GGA-PBE, relaxed)
data_Rb2FeAu
_space_group_name_H-M_alt 'P 1'
_space_group_IT_number 1
_space_group_name_Hall 'P 1'
_cell_length_a 5.9788
_cell_length_b 5.9788
_cell_length_c 5.9788
_cell_angle_alpha 60.00
_cell_angle_beta 60.00
_cell_angle_gamma 60.00
loop_
_atom_site_label
_atom_site_type_symbol
_atom_site_fract_x
_atom_site_fract_y
_atom_site_fract_z
Rb1 Rb 0.2500 0.2500 0.2500
Rb2 Rb 0.7500 0.7500 0.7500
Fe1 Fe 0.0000 0.0000 0.0000
Au1 Au 0.5000 0.5000 0.5000
# - VASP energy (eV/atom) = -2.743
# - space-group type = Fm-3m, No. 225
# - DFT formation energy (eV per formula unit) = 2.7
# - total magnetic moment (μB per cell) = 3.1

---

[8]
# NbTlW2 (GGA-PBE, relaxed)
data_NbTlW2
_space_group_name_H-M_alt 'P 1'
_space_group_IT_number 1
_space_group_name_Hall 'P 1'
_cell_length_a 4.6751
_cell_length_b 4.6751
_cell_length_c 4.6751
_cell_angle_alpha 60.00
_cell_angle_beta 60.00
_cell_angle_gamma 60.00
loop_
_atom_site_label
_atom_site_type_symbol
_atom_site_fract_x
_atom_site_fract_y
_atom_site_fract_z
Nb1 Nb 0.0000 0.0000 0.0000
Tl1 Tl 0.5000 0.5000 0.5000
W1 W 0.2500 0.2500 0.2500
W2 W 0.7500 0.7500 0.7500
# - VASP energy (eV/atom) = -8.786
# - space-group type = Fm-3m, No. 225
# - DFT formation energy (eV per formula unit) = 3.2
# - total magnetic moment (μB per cell) = 0.0

---

[9]
# SrTa2Mo (GGA-PBE, relaxed)
data_SrTa2Mo
_space_group_name_H-M_alt 'P 1'
_space_group_IT_number 1
_space_group_name_Hall 'P 1'
_cell_length_a 4.8739
_cell_length_b 4.8739
_cell_length_c 4.8739
_cell_angle_alpha 120.18
_cell_angle_beta 120.18
_cell_angle_gamma 89.69
loop_
_atom_site_label
_atom_site_type_symbol
_atom_site_fract_x
_atom_site_fract_y
_atom_site_fract_z
Sr1 Sr 0.0000 0.0000 0.0000
Ta1 Ta 0.2500 0.7500 0.5000
Ta2 Ta 0.5000 0.5000 0.0000
Mo1 Mo 0.7500 0.2500 0.5000
# - VASP energy (eV/atom) = -8.042
# - space-group type = I-4m2, No. 119
# - DFT formation energy (eV per formula unit) = 4.1
# - total magnetic moment (μB per cell) = 0.0

---

[10]
# LaSc2H (GGA-PBE, relaxed)
data_LaSc2H
_space_group_name_H-M_alt 'P 1'
_space_group_IT_number 1
_space_group_name_Hall 'P 1'
_cell_length_a 6.2207
_cell_length_b 6.2207
_cell_length_c 6.2207
_cell_angle_alpha 113.76
_cell_angle_beta 113.76
_cell_angle_gamma 101.20
loop_
_atom_site_label
_atom_site_type_symbol
_atom_site_fract_x
_atom_site_fract_y
_atom_site_fract_z
La1 La 0.0000 0.0000 0.0000
La2 La 0.7500 0.2500 0.5000
Sc1 Sc 0.3081 0.1250 0.6831
Sc2 Sc 0.3750 0.6919 0.8169
Sc3 Sc 0.4419 0.6250 0.3169
Sc4 Sc 0.8750 0.5581 0.1831
H1 H 0.2500 0.7500 0.5000
H2 H 0.5000 0.5000 0.0000
# - VASP energy (eV/atom) = -5.320
# - space-group type = I-42d, No. 122
# - total magnetic moment (μB per cell) = 0.0

---

[11]
# SmEr7 (GGA-PBE, relaxed)
data_SmEr7
_space_group_name_H-M_alt 'P 1'
_space_group_IT_number 1
_space_group_name_Hall 'P 1'
_cell_length_a 8.6671
_cell_length_b 8.6671
_cell_length_c 8.6671
_cell_angle_alpha 156.73
_cell_angle_beta 101.08
_cell_angle_gamma 83.64
loop_
_atom_site_label
_atom_site_type_symbol
_atom_site_fract_x
_atom_site_fract_y
_atom_site_fract_z
Sm1 Sm 0.0000 0.0000 0.0000
Er1 Er 0.1376 0.3665 0.7711
Er2 Er 0.2420 0.7420 0.5000
Er3 Er 0.4046 0.6335 0.7711
Er4 Er 0.5000 0.0000 0.5000
Er5 Er 0.5954 0.3665 0.2289
Er6 Er 0.7580 0.2580 0.5000
Er7 Er 0.8624 0.6335 0.2289
# - VASP energy (eV/atom) = -4.553
# - space-group type = Immm, No. 71
# - DFT formation energy (eV per formula unit) = 0.2
# - total magnetic moment (μB per cell) = 0.0

---

[12]
# ZrTi3 (GGA-PBE, relaxed)
data_ZrTi3
_space_group_name_H-M_alt 'P 1'
_space_group_IT_number 1
_space_group_name_Hall 'P 1'
_cell_length_a 6.0540
_cell_length_b 6.0540
_cell_length_c 4.7471
_cell_angle_alpha 90.00
_cell_angle_beta 90.00
_cell_angle_gamma 120.00
loop_
_atom_site_label
_atom_site_type_symbol
_atom_site_fract_x
_atom_site_fract_y
_atom_site_fract_z
Zr1 Zr 0.3333 0.6667 0.2500
Zr2 Zr 0.6667 0.3333 0.7500
Ti1 Ti 0.1605 0.3210 0.7500
Ti2 Ti 0.1605 0.8395 0.7500
Ti3 Ti 0.3210 0.1605 0.2500
Ti4 Ti 0.6790 0.8395 0.7500
Ti5 Ti 0.8395 0.1605 0.2500
Ti6 Ti 0.8395 0.6790 0.2500
# - VASP energy (eV/atom) = -8.026
# - space-group type = P6_3/mmc, No. 194
# - DFT formation energy (eV per formula unit) = 0.1
# - total magnetic moment (μB per cell) = 0.0